DFT (PBE) results for a relaxed structure of MnH2WBr.

Its electronic total energy is -23.87 eV/cell.

The space group is P4/mmm (No. 123) and the conventional cell measures 3.502, 3.502 and 5.803 Å, with angles of 90.00, 90.00 and 90.00 degrees. The inequivalent atoms are Mn at (0.000, 0.000, 0.000), H at (0.000, 0.500, 0.500), W at (0.500, 0.500, 0.000) and Br at (0.500, 0.500, 0.500).



DFT (PBE) results for a relaxed structure of Tb3Sm5Te8.

As for the uncorrected formation energy: -1352 meV per atom.

The space group is R-3m (No. 166, hexagonal axes) and the conventional cell measures 8.8282, 8.8282 and 21.6834 Å, with angles of 90.00, 90.00 and 120.00 degrees. The inequivalent atoms are Tb at (0.0000, 0.5000, 0.0000), Sm at (0.0000, 0.0000, 0.0000), Sm at (0.0000, 0.0000, 0.5000), Sm at (0.0000, 0.5000, 0.5000), Te at (0.0000, 0.0000, 0.2521) and Te at (0.0028, 0.5014, 0.2514).



DFT (PBE) results for a relaxed structure of KBe2Zn.

The value obtained for the energy relative to the elements is 485.4 meV/atom.

The space group is Pm (No. 6) and the conventional cell measures 2.567, 3.723 and 7.623 Å, with angles of 90.00, 97.23 and 90.00 degrees. The inequivalent atoms are K at (0.000, 0.000, 0.000), Be at (0.262, 0.500, 0.627), Be at (0.748, 0.000, 0.594) and Zn at (0.659, 0.500, 0.353).